1.
First-principles (PBE-GGA) data for crystalline CeCu2Pt6 at its relaxed geometry, as listed in the Alexandria database.

a = 7.997 Å, b = 7.997 Å, c = 7.997 Å
α = 159.60°, β = 122.42°, γ = 61.74°
Fractional coordinates of all 9 atoms:
Ce 0.000 0.000 0.000
Cu 0.348 0.848 0.500
Cu 0.652 0.152 0.500
Pt 0.003 0.325 0.678
Pt 0.332 0.500 0.832
Pt 0.352 0.675 0.678
Pt 0.648 0.325 0.322
Pt 0.668 0.500 0.168
Pt 0.997 0.675 0.322

Output
Formation energy from the elements   -0.2251 eV/atom



2.
First-principles (PBE-GGA) data for crystalline Ce2CuPt at its relaxed geometry, as listed in the Alexandria database.

a = 10.615 Å, b = 10.615 Å, c = 10.615 Å
α = 16.20°, β = 16.20°, γ = 16.20°
Fractional coordinates of all 4 atoms:
Ce 0.087 0.087 0.087
Ce 0.913 0.913 0.913
Cu 0.500 0.500 0.500
Pt 0.000 0.000 0.000

Output
Formation energy from the elements   0.0380 eV/atom



3.
First-principles (PBE-GGA) data for crystalline CeCu2Pt4 at its relaxed geometry, as listed in the Alexandria database.

a = 5.398 Å, b = 5.398 Å, c = 5.250 Å
α = 118.89°, β = 118.89°, γ = 76.54°
Fractional coordinates of all 7 atoms:
Ce 0.000 0.000 0.000
Cu 0.499 0.499 0.249
Cu 0.501 0.501 0.751
Pt 0.000 0.408 0.704
Pt 0.000 0.592 0.296
Pt 0.408 0.000 0.704
Pt 0.592 0.000 0.296

Output
Formation energy from the elements   -0.5321 eV/atom
Energy above the lowest structure with this stoichiometry   0.0 kJ per mole of atoms



4.
First-principles (PBE-GGA) data for crystalline Ce2CuPt9 at its relaxed geometry, as listed in the Alexandria database.

a = 4.121 Å, b = 4.121 Å, c = 12.079 Å
α = 90.00°, β = 90.00°, γ = 90.00°
Fractional coordinates of all 12 atoms:
Ce 0.000 0.000 0.178
Ce 0.000 0.000 0.822
Cu 0.000 0.000 0.500
Pt 0.000 0.500 0.000
Pt 0.000 0.500 0.347
Pt 0.000 0.500 0.653
Pt 0.500 0.000 0.000
Pt 0.500 0.000 0.347
Pt 0.500 0.000 0.653
Pt 0.500 0.500 0.174
Pt 0.500 0.500 0.500
Pt 0.500 0.500 0.826

Output
Formation energy from the elements   -0.6759 eV/atom



5.
First-principles (PBE-GGA) data for crystalline CeCu2Pt3 at its relaxed geometry, as listed in the Alexandria database.

a = 6.762 Å, b = 6.762 Å, c = 5.147 Å
α = 90.00°, β = 90.00°, γ = 90.87°
Fractional coordinates of all 12 atoms:
Ce 0.183 0.817 0.750
Ce 0.817 0.183 0.250
Cu 0.365 0.365 0.000
Cu 0.365 0.365 0.500
Cu 0.635 0.635 0.000
Cu 0.635 0.635 0.500
Pt 0.072 0.223 0.750
Pt 0.223 0.072 0.250
Pt 0.315 0.685 0.250
Pt 0.685 0.315 0.750
Pt 0.777 0.928 0.750
Pt 0.928 0.777 0.250

Output
Formation energy from the elements   -0.3313 eV/atom



6.
First-principles (PBE-GGA) data for crystalline CeCu2Pt4 at its relaxed geometry, as listed in the Alexandria database.

a = 6.142 Å, b = 6.142 Å, c = 6.142 Å
α = 98.93°, β = 98.93°, γ = 133.60°
Fractional coordinates of all 7 atoms:
Ce 0.000 0.000 0.000
Cu 0.250 0.750 0.500
Cu 0.750 0.250 0.500
Pt 0.271 0.500 0.771
Pt 0.500 0.271 0.771
Pt 0.500 0.729 0.229
Pt 0.729 0.500 0.229

Output
Formation energy from the elements   0.0728 eV/atom
Energy above the lowest structure with this stoichiometry   58.4 kJ per mole of atoms



7.
First-principles (PBE-GGA) data for crystalline Ce3CuPt2 at its relaxed geometry, as listed in the Alexandria database.

a = 11.866 Å, b = 4.204 Å, c = 11.308 Å
α = 90.00°, β = 90.00°, γ = 90.00°
Fractional coordinates of all 24 atoms:
Ce 0.055 0.250 0.131
Ce 0.126 0.750 0.572
Ce 0.214 0.250 0.819
Ce 0.286 0.750 0.319
Ce 0.374 0.250 0.072
Ce 0.445 0.750 0.631
Ce 0.555 0.250 0.369
Ce 0.626 0.750 0.928
Ce 0.714 0.250 0.681
Ce 0.786 0.750 0.181
Ce 0.874 0.250 0.428
Ce 0.945 0.750 0.869
Cu 0.125 0.250 0.386
Cu 0.375 0.750 0.886
Cu 0.625 0.250 0.114
Cu 0.875 0.750 0.614
Pt 0.005 0.750 0.311
Pt 0.174 0.750 0.997
Pt 0.326 0.250 0.497
Pt 0.495 0.250 0.811
Pt 0.505 0.750 0.189
Pt 0.674 0.750 0.503
Pt 0.826 0.250 0.003
Pt 0.995 0.250 0.689

Output
Formation energy from the elements   -0.7282 eV/atom



8.
First-principles (PBE-GGA) data for crystalline Ce2Cu2Pt15 at its relaxed geometry, as listed in the Alexandria database.

a = 6.972 Å, b = 6.972 Å, c = 6.972 Å
α = 83.06°, β = 83.06°, γ = 83.06°
Fractional coordinates of all 19 atoms:
Ce 0.161 0.161 0.161
Ce 0.839 0.839 0.839
Cu 0.406 0.406 0.406
Cu 0.594 0.594 0.594
Pt 0.000 0.500 0.500
Pt 0.157 0.157 0.658
Pt 0.157 0.658 0.157
Pt 0.187 0.500 0.813
Pt 0.187 0.813 0.500
Pt 0.342 0.843 0.843
Pt 0.500 0.000 0.500
Pt 0.500 0.187 0.813
Pt 0.500 0.500 0.000
Pt 0.500 0.813 0.187
Pt 0.658 0.157 0.157
Pt 0.813 0.187 0.500
Pt 0.813 0.500 0.187
Pt 0.843 0.342 0.843
Pt 0.843 0.843 0.342

Output
Formation energy from the elements   -0.4349 eV/atom



9.
First-principles (PBE-GGA) data for crystalline Ce2Cu2Pt at its relaxed geometry, as listed in the Alexandria database.

a = 4.176 Å, b = 3.651 Å, c = 6.767 Å
α = 90.00°, β = 101.38°, γ = 90.00°
Fractional coordinates of all 5 atoms:
Ce 0.156 0.000 0.226
Ce 0.844 0.000 0.774
Cu 0.282 0.500 0.600
Cu 0.718 0.500 0.400
Pt 0.500 0.500 0.000

Output
Formation energy from the elements   -0.4747 eV/atom



10.
First-principles (PBE-GGA) data for crystalline Ce2Cu5Pt12 at its relaxed geometry, as listed in the Alexandria database.

a = 6.859 Å, b = 6.859 Å, c = 6.859 Å
α = 82.81°, β = 82.81°, γ = 82.81°
Fractional coordinates of all 19 atoms:
Ce 0.160 0.160 0.160
Ce 0.840 0.840 0.840
Cu 0.000 0.500 0.500
Cu 0.406 0.406 0.406
Cu 0.500 0.000 0.500
Cu 0.500 0.500 0.000
Cu 0.594 0.594 0.594
Pt 0.159 0.159 0.642
Pt 0.159 0.642 0.159
Pt 0.197 0.500 0.803
Pt 0.197 0.803 0.500
Pt 0.358 0.841 0.841
Pt 0.500 0.197 0.803
Pt 0.500 0.803 0.197
Pt 0.642 0.159 0.159
Pt 0.803 0.197 0.500
Pt 0.803 0.500 0.197
Pt 0.841 0.358 0.841
Pt 0.841 0.841 0.358

Output
Formation energy from the elements   -0.4542 eV/atom



11.
First-principles (PBE-GGA) data for crystalline Ce2CuPt at its relaxed geometry, as listed in the Alexandria database.

a = 4.962 Å, b = 4.962 Å, c = 3.623 Å
α = 90.00°, β = 90.00°, γ = 90.00°
Fractional coordinates of all 4 atoms:
Ce 0.000 0.500 0.000
Ce 0.500 0.000 0.000
Cu 0.000 0.000 0.500
Pt 0.500 0.500 0.500

Output
Formation energy from the elements   -0.5142 eV/atom



12.
First-principles (PBE-GGA) data for crystalline Ce3Cu2Pt9 at its relaxed geometry, as listed in the Alexandria database.

a = 8.327 Å, b = 8.327 Å, c = 8.327 Å
α = 151.72°, β = 103.01°, γ = 83.93°
Fractional coordinates of all 14 atoms:
Ce 0.000 0.000 0.000
Ce 0.304 0.304 0.000
Ce 0.696 0.696 0.000
Cu 0.314 0.500 0.814
Cu 0.686 0.500 0.186
Pt 0.029 0.655 0.374
Pt 0.162 0.871 0.291
Pt 0.281 0.655 0.626
Pt 0.419 0.129 0.291
Pt 0.500 0.000 0.500
Pt 0.581 0.871 0.709
Pt 0.719 0.345 0.374
Pt 0.838 0.129 0.709
Pt 0.971 0.345 0.626

Output
Formation energy from the elements   -0.6920 eV/atom



13.
First-principles (PBE-GGA) data for crystalline Ce2Cu2Pt5Rh at its relaxed geometry, as listed in the Alexandria database.

a = 9.244 Å, b = 9.244 Å, c = 4.026 Å
α = 90.00°, β = 90.00°, γ = 90.00°
Fractional coordinates of all 20 atoms:
Ce 0.182 0.318 0.000
Ce 0.318 0.818 0.000
Ce 0.682 0.182 0.000
Ce 0.818 0.682 0.000
Cu 0.117 0.617 0.000
Cu 0.383 0.117 0.000
Cu 0.617 0.883 0.000
Cu 0.883 0.383 0.000
Pt 0.000 0.500 0.500
Pt 0.068 0.795 0.500
Pt 0.205 0.068 0.500
Pt 0.295 0.568 0.500
Pt 0.432 0.295 0.500
Pt 0.500 0.000 0.500
Pt 0.568 0.705 0.500
Pt 0.705 0.432 0.500
Pt 0.795 0.932 0.500
Pt 0.932 0.205 0.500
Rh 0.000 0.000 0.000
Rh 0.500 0.500 0.000

Output
Formation energy from the elements   -0.6669 eV/atom



14.
First-principles (PBE-GGA) data for crystalline Ce2CuPt5Rh2 at its relaxed geometry, as listed in the Alexandria database.

a = 9.286 Å, b = 9.286 Å, c = 4.162 Å
α = 90.00°, β = 90.00°, γ = 90.00°
Fractional coordinates of all 20 atoms:
Ce 0.177 0.323 0.000
Ce 0.323 0.823 0.000
Ce 0.677 0.177 0.000
Ce 0.823 0.677 0.000
Cu 0.000 0.000 0.000
Cu 0.500 0.500 0.000
Pt 0.000 0.500 0.500
Pt 0.052 0.800 0.500
Pt 0.200 0.052 0.500
Pt 0.300 0.552 0.500
Pt 0.448 0.300 0.500
Pt 0.500 0.000 0.500
Pt 0.552 0.700 0.500
Pt 0.700 0.448 0.500
Pt 0.800 0.948 0.500
Pt 0.948 0.200 0.500
Rh 0.131 0.631 0.000
Rh 0.369 0.131 0.000
Rh 0.631 0.869 0.000
Rh 0.869 0.369 0.000

Output
Formation energy from the elements   -0.6819 eV/atom



15.
First-principles (PBE-GGA) data for crystalline CeCuSi2Pt5 at its relaxed geometry, as listed in the Alexandria database.

a = 4.082 Å, b = 4.082 Å, c = 10.251 Å
α = 90.00°, β = 90.00°, γ = 90.00°
Fractional coordinates of all 9 atoms:
Ce 0.000 0.000 0.000
Cu 0.000 0.000 0.500
Si 0.500 0.500 0.230
Si 0.500 0.500 0.770
Pt 0.000 0.500 0.345
Pt 0.000 0.500 0.655
Pt 0.500 0.000 0.345
Pt 0.500 0.000 0.655
Pt 0.500 0.500 0.000

Output
Formation energy (no corrections)   -0.615 eV/atom



16.
First-principles (PBE-GGA) data for crystalline CeCuSi2Pt2 at its relaxed geometry, as listed in the Alexandria database.

a = 4.195 Å, b = 4.195 Å, c = 6.799 Å
α = 90.00°, β = 90.00°, γ = 120.00°
Fractional coordinates of all 6 atoms:
Ce 0.000 0.000 0.000
Cu 0.000 0.000 0.500
Si 0.333 0.667 0.287
Si 0.667 0.333 0.713
Pt 0.333 0.667 0.673
Pt 0.667 0.333 0.327

Output
Formation energy (no corrections)   -0.806 eV/atom



17.
First-principles (PBE-GGA) data for crystalline CeCuSi2Pt at its relaxed geometry, as listed in the Alexandria database.

a = 5.815 Å, b = 5.815 Å, c = 5.815 Å
α = 138.57°, β = 138.57°, γ = 60.03°
Fractional coordinates of all 5 atoms:
Ce 0.000 0.000 0.000
Cu 0.750 0.250 0.500
Si 0.382 0.382 0.000
Si 0.618 0.618 0.000
Pt 0.250 0.750 0.500

Output
Formation energy (no corrections)   -0.833 eV/atom



18.
First-principles (PBE-GGA) data for crystalline CeCuSi2Pt4 at its relaxed geometry, as listed in the Alexandria database.

a = 9.191 Å, b = 9.191 Å, c = 9.191 Å
α = 26.27°, β = 26.27°, γ = 26.27°
Fractional coordinates of all 8 atoms:
Ce 0.000 0.000 0.000
Cu 0.500 0.500 0.500
Si 0.241 0.241 0.241
Si 0.759 0.759 0.759
Pt 0.132 0.132 0.132
Pt 0.404 0.404 0.404
Pt 0.596 0.596 0.596
Pt 0.868 0.868 0.868

Output
Formation energy (no corrections)   -0.705 eV/atom



19.
First-principles (PBE-GGA) data for crystalline Ce3CuSi6Pt2 at its relaxed geometry, as listed in the Alexandria database.

a = 5.324 Å, b = 5.324 Å, c = 9.297 Å
α = 90.00°, β = 90.00°, γ = 120.00°
Fractional coordinates of all 12 atoms:
Ce 0.000 0.000 0.000
Ce 0.333 0.667 0.576
Ce 0.667 0.333 0.424
Cu 0.000 0.000 0.500
Si 0.165 0.330 0.284
Si 0.165 0.835 0.284
Si 0.330 0.165 0.716
Si 0.670 0.835 0.284
Si 0.835 0.165 0.716
Si 0.835 0.670 0.716
Pt 0.333 0.667 0.078
Pt 0.667 0.333 0.922

Output
Formation energy (no corrections)   -0.477 eV/atom



20.
First-principles (PBE-GGA) data for crystalline CeSmCuPt at its relaxed geometry, as listed in the Alexandria database.

a = 4.580 Å, b = 5.634 Å, c = 5.634 Å
α = 39.93°, β = 90.00°, γ = 90.00°
Fractional coordinates of all 4 atoms:
Ce 0.000 0.000 0.000
Sm 0.500 0.278 0.278
Cu 0.500 0.559 0.559
Pt 0.000 0.714 0.714

Output
Formation energy from the elements   -0.6405 eV/atom
Energy above the lowest structure with this stoichiometry   0.0 kJ per mole of atoms



21.
First-principles (PBE-GGA) data for crystalline CeSmCuPt at its relaxed geometry, as listed in the Alexandria database.

a = 5.035 Å, b = 5.035 Å, c = 5.035 Å
α = 60.00°, β = 60.00°, γ = 60.00°
Fractional coordinates of all 4 atoms:
Ce 0.000 0.000 0.000
Sm 0.500 0.500 0.500
Cu 0.750 0.750 0.750
Pt 0.250 0.250 0.250

Output
Formation energy from the elements   -0.5805 eV/atom
Energy above the lowest structure with this stoichiometry   5.8 kJ per mole of atoms



22.
First-principles (PBE-GGA) data for crystalline TbCeCuPt at its relaxed geometry, as listed in the Alexandria database.

a = 4.996 Å, b = 4.996 Å, c = 4.996 Å
α = 60.00°, β = 60.00°, γ = 60.00°
Fractional coordinates of all 4 atoms:
Tb 0.000 0.000 0.000
Ce 0.500 0.500 0.500
Cu 0.250 0.250 0.250
Pt 0.750 0.750 0.750

Output
Formation energy from the elements   -0.6207 eV/atom
Energy above the lowest structure with this stoichiometry   5.3 kJ per mole of atoms



Total moment values (in μB per formula unit) by entry order: 0.3, 0.0, 0.0, 0.0, 0.3, 0.5, 2.3, 0.6, 1.2, 0.7, 1.4, 0.6, 0.0, 0.0, 0.9, 0.5, 0.2, 0.6, 0.1, 0.8, 0.8, 0.8.